No. 1
{
  "formula": "LaAl2Zn2",
  "functional": "PBE-GGA",
  "state": "relaxed",
  "e_tot_ev_per_atom": -3.141,
  "spacegroup": "P4/mbm, No. 127",
  "magmom_total_mub_per_atom": 0.00,
  "cell": [[-5.881, -5.571, -0.142], [2.278, -2.214, -7.453], [1.879, -2.013, 1.172]],
  "species": ["Al", "Al", "Al", "Al", "La", "La", "Zn", "Zn", "Zn", "Zn"],
  "fractional_positions": [[0.833, 0.333, 0.500], [0.167, 0.667, 0.500], [0.667, 0.833, 0.500], [0.333, 0.167, 0.500], [0.000, 0.000, 0.000], [0.500, 0.500, 0.000], [0.125, 0.375, 0.000], [0.375, 0.875, 0.000], [0.875, 0.625, 0.000], [0.625, 0.125, 0.000]]
}



No. 2
{
  "formula": "La2Al3Zn4",
  "functional": "PBE-GGA",
  "state": "relaxed",
  "e_tot_ev_per_atom": -3.231,
  "spacegroup": "Cmce, No. 64",
  "magmom_total_mub_per_atom": 0.00,
  "cell": [[5.924, 0.000, 0.000], [0.000, 7.912, 0.000], [-2.962, 0.000, 7.870]],
  "species": ["Zn", "Zn", "Zn", "Zn", "Zn", "Zn", "Zn", "Zn", "La", "La", "La", "La", "Al", "Al", "Al", "Al", "Al", "Al"],
  "fractional_positions": [[0.677, 0.513, 0.355], [0.177, 0.987, 0.355], [0.323, 0.487, 0.645], [0.823, 0.013, 0.645], [0.315, 0.250, 0.130], [0.185, 0.750, 0.870], [0.685, 0.750, 0.870], [0.815, 0.250, 0.130], [0.106, 0.599, 0.213], [0.606, 0.901, 0.213], [0.894, 0.401, 0.787], [0.394, 0.099, 0.787], [0.521, 0.750, 0.542], [0.000, 0.000, 0.000], [0.979, 0.250, 0.458], [0.021, 0.750, 0.542], [0.500, 0.500, 0.000], [0.479, 0.250, 0.458]]
}



No. 3
{
  "formula": "La2AlZn",
  "functional": "PBE-GGA",
  "state": "relaxed",
  "e_tot_ev_per_atom": -3.834,
  "spacegroup": "P4mm, No. 99",
  "magmom_total_mub_per_atom": 0.00,
  "cell": [[-1.761, -0.563, -2.906], [2.659, -1.785, -1.266], [-3.352, -7.457, 3.476]],
  "species": ["Zn", "La", "La", "Al"],
  "fractional_positions": [[0.000, 0.000, 0.548], [0.000, 0.000, 0.951], [0.500, 0.500, 0.304], [0.500, 0.500, 0.698]]
}



No. 4
{
  "formula": "La2AlZn3",
  "functional": "PBE-GGA",
  "state": "relaxed",
  "e_tot_ev_per_atom": -3.278,
  "spacegroup": "Fmmm, No. 69",
  "magmom_total_mub_per_atom": 0.00,
  "cell": [[0.293, 5.839, -1.380], [-5.344, -1.463, -2.321], [-0.993, -0.367, 8.805]],
  "species": ["Al", "Al", "Zn", "Zn", "Zn", "Zn", "Zn", "Zn", "La", "La", "La", "La"],
  "fractional_positions": [[0.336, 0.336, 0.672], [0.664, 0.664, 0.328], [0.338, 0.827, 0.166], [0.169, 0.169, 0.338], [0.831, 0.831, 0.662], [0.827, 0.338, 0.166], [0.173, 0.662, 0.834], [0.662, 0.173, 0.834], [0.750, 0.250, 0.500], [0.767, 0.767, 0.000], [0.250, 0.750, 0.500], [0.233, 0.233, 0.000]]
}



No. 5
{
  "formula": "LaAl11Zn",
  "functional": "PBE-GGA",
  "state": "relaxed",
  "e_tot_ev_per_atom": -3.766,
  "spacegroup": "C2/m, No. 12",
  "magmom_total_mub_per_atom": 0.00,
  "cell": [[-2.862, -3.864, -2.465], [4.191, -4.041, -4.067], [-0.383, -5.935, 3.824]],
  "species": ["Al", "Al", "Al", "Al", "Al", "Al", "Al", "Al", "Al", "Al", "Al", "La", "Zn"],
  "fractional_positions": [[0.987, 0.645, 0.359], [0.281, 0.224, 0.220], [0.000, 0.000, 0.500], [0.498, 0.776, 0.220], [0.502, 0.224, 0.780], [0.346, 0.645, 0.641], [0.654, 0.355, 0.359], [0.719, 0.776, 0.780], [0.000, 0.500, 0.000], [0.013, 0.355, 0.641], [0.500, 0.000, 0.500], [0.000, 0.000, 0.000], [0.500, 0.500, 0.000]]
}



No. 6
{
  "formula": "La2AlZn",
  "functional": "PBE-GGA",
  "state": "relaxed",
  "e_tot_ev_per_atom": -3.644,
  "spacegroup": "F-43m, No. 216",
  "magmom_total_mub_per_atom": 0.00,
  "cell": [[-2.012, -4.463, -1.840], [0.471, -4.415, 2.762], [-4.201, -2.114, 2.288]],
  "species": ["Al", "La", "La", "Zn"],
  "fractional_positions": [[0.500, 0.500, 0.500], [0.750, 0.750, 0.750], [0.000, 0.000, 0.000], [0.250, 0.250, 0.250]]
}



No. 7
{
  "formula": "LaAlZn",
  "functional": "PBE-GGA",
  "state": "relaxed",
  "e_tot_ev_per_atom": -3.735,
  "spacegroup": "Imma, No. 74",
  "magmom_total_mub_per_atom": 0.00,
  "cell": [[5.700, 0.008, -0.035], [0.001, 5.700, -0.034], [-2.777, -2.780, 4.064]],
  "species": ["Zn", "Zn", "La", "La", "Al", "Al"],
  "fractional_positions": [[0.661, 0.057, 0.960], [0.661, 0.057, 0.460], [0.043, 0.675, 0.210], [0.278, 0.439, 0.710], [0.161, 0.057, 0.960], [0.661, 0.557, 0.460]]
}



No. 8
{
  "formula": "LaAlZn2",
  "functional": "PBE-GGA",
  "state": "relaxed",
  "e_tot_ev_per_atom": -3.127,
  "spacegroup": "C2/m, No. 12",
  "magmom_total_mub_per_atom": 0.00,
  "cell": [[-3.043, -1.012, -2.989], [-2.182, -3.792, 0.290], [-5.413, 0.726, 2.038]],
  "species": ["Zn", "Zn", "Al", "La"],
  "fractional_positions": [[0.538, 0.538, 0.386], [0.962, 0.962, 0.114], [0.250, 0.250, 0.250], [0.750, 0.750, 0.750]]
}



Repeat the eighth record exactly.
{
  "formula": "LaAlZn2",
  "functional": "PBE-GGA",
  "state": "relaxed",
  "e_tot_ev_per_atom": -3.127,
  "spacegroup": "C2/m, No. 12",
  "magmom_total_mub_per_atom": 0.00,
  "cell": [[-3.043, -1.012, -2.989], [-2.182, -3.792, 0.290], [-5.413, 0.726, 2.038]],
  "species": ["Zn", "Zn", "Al", "La"],
  "fractional_positions": [[0.538, 0.538, 0.386], [0.962, 0.962, 0.114], [0.250, 0.250, 0.250], [0.750, 0.750, 0.750]]
}